The following is a DFT calculation (GGA-PBE) of a relaxed structure of CsMgP.

Cell lengths 4.579, 7.208, 7.734 Å; angles 105.87, 90.32, 108.36 degrees
Space group P1 (No. 1)
Inequivalent atoms, fractional coordinates:
Cs: 0.000 0.000 0.000
Cs: 0.316 0.626 0.329
Mg: 0.204 0.409 0.788
Mg: 0.600 0.203 0.600
P: 0.058 0.120 0.482
P: 0.728 0.455 0.926

Computed properties:
Calculated formation energy, meV/atom: -465